[1]
A geometry-optimized TmMg2In structure, computed with PBE.

Output
DOS at the Fermi energy ... 2.17 states/eV/cell
Total energy ... -2.7340 eV/atom
DFT formation energy ... -134.2 meV/atom

a b c (Å): 3.3404 5.1388 5.8493
angles (deg): 90.00 95.95 90.00
With the nearest neighbours (Å) after each atom.
Space group P2/m (No. 10)
Unique sites:
Tm: 0.0000 0.0000 0.0000 [1 per cell]  4 In 3.21-3.52, 8 Mg 3.28-3.52, 2 Tm 3.34
Mg: 0.3815 0.5000 0.7494 [2 per cell]  2 Mg 2.96-3.10, 2 In 3.00, 2 Tm 3.28
In: 0.5000 0.0000 0.5000 [1 per cell]  4 Mg 3.00, 2 Tm 3.21, 2 In 3.34


[2]
A geometry-optimized LiMg2IrO5 structure, computed with PBE.

Output
DOS at the Fermi energy ... 9.09 states/eV/cell
Total energy ... -5.7962 eV/atom

a b c (Å): 3.7416 5.4419 10.3737
angles (deg): 90.00 90.00 90.00
With the nearest neighbours (Å) after each atom.
Space group Immm (No. 71)
Unique sites:
Li: 0.0000 0.0000 0.0000 [2 per cell]  10 O 2.72-2.78
Mg: 0.0000 0.5000 0.2228 [4 per cell]  2 O 1.98
Ir: 0.0000 0.0000 0.5000 [2 per cell]  6 O 1.87-1.98
O: 0.0000 0.2396 0.3562 [8 per cell]  1 Ir 1.98, 1 Mg 1.98
O: 0.0000 0.5000 0.0000 [2 per cell]  2 Ir 1.87


[3]
A geometry-optimized Zr4GaGe structure, computed with PBE.

Output
DOS at the Fermi energy ... 24.03 states/eV/cell
Total energy ... -7.2381 eV/atom
DFT formation energy ... -265.3 meV/atom

a b c (Å): 9.1661 9.1460 7.9125
angles (deg): 90.00 125.29 90.00
With the nearest neighbours (Å) after each atom.
Space group C2/c (No. 15)
Unique sites:
Zr: 0.1253 0.1250 0.0005 [8 per cell]  2 Ga 2.80, 2 Ge 2.80
Zr: 0.1255 0.3751 0.5005 [8 per cell]  2 Ge 2.80, 2 Ga 2.80
Ga: 0.0000 0.1250 0.2500 [4 per cell]  8 Zr 2.80
Ge: 0.0000 0.3750 0.7500 [4 per cell]  8 Zr 2.80


[4]
A geometry-optimized Tl2TeSN structure, computed with PBE.

Output
DOS at the Fermi energy ... 2.10 states/eV/cell
Total energy ... -3.7005 eV/atom

a b c (Å): 6.3655 6.3655 3.4386
angles (deg): 90.00 90.00 90.00
With the nearest neighbours (Å) after each atom.
Space group P4/mmm (No. 123)
Unique sites:
Tl: 0.0000 0.5000 0.0000 [2 per cell]  2 S 3.18, 2 Tl 3.44
Te: 0.0000 0.0000 0.5000 [1 per cell]  2 Te 3.44, 8 Tl 3.62
S: 0.5000 0.5000 0.0000 [1 per cell]  2 N 1.72
N: 0.5000 0.5000 0.5000 [1 per cell]  2 S 1.72